A plane-wave DFT calculation with PBE-GGA was carried out for a relaxed SbC3 crystal.

Computed properties:
As for the space group: P-6m2, No. 187.

```
SbC3
1.0
3.4806 0.0000 0.0000
-1.7403 3.0143 0.0000
0.0000 0.0000 5.0919
Sb C
1 3
Cartesian
0.0000 0.0000 0.0000 Sb
0.0000 0.0000 2.5459 C
0.0000 2.0095 1.8678 C
0.0000 2.0095 3.2240 C
```

=====

A plane-wave DFT calculation with PBE-GGA was carried out for a relaxed SbC2 crystal.

Computed properties:
As for the space group: Cm, No. 8.

```
SbC2
1.0
3.0758 -1.7980 0.0000
3.0758 1.7980 0.0000
-0.0845 0.0000 8.1605
Sb C
2 4
Cartesian
0.0000 0.0000 0.0000 Sb
4.1517 0.0000 4.9945 Sb
0.0462 0.0000 6.0367 C
2.0349 0.0000 1.0139 C
2.0460 0.0000 2.3729 C
2.0551 0.0000 3.6594 C
```

=====

A plane-wave DFT calculation with PBE-GGA was carried out for a relaxed SbC crystal.

Computed properties:
As for the space group: P-3m1, No. 164.

```
SbC
1.0
3.7930 0.0000 0.0000
-1.8965 3.2848 0.0000
0.0000 0.0000 6.5937
Sb C
2 2
Cartesian
0.0000 2.1899 1.8668 Sb
1.8965 1.0949 4.7269 Sb
0.0000 2.1899 4.1243 C
1.8965 1.0949 2.4694 C
```

=====

A plane-wave DFT calculation with PBE-GGA was carried out for a relaxed Sb2C crystal.

Computed properties:
As for the space group: P-3m1, No. 164.

```
Sb2C
1.0
3.3198 0.0000 0.0000
-1.6599 2.8750 0.0000
0.0000 0.0000 6.3275
Sb C
2 1
Cartesian
0.0000 1.9167 1.4916 Sb
1.6599 0.9583 4.8360 Sb
0.0000 0.0000 0.0000 C
```

=====

A plane-wave DFT calculation with PBE-GGA was carried out for a relaxed Sb3C crystal.

Computed properties:
As for the space group: Im-3m, No. 229.

```
Sb3C
1.0
-2.8727 2.8727 2.8727
2.8727 -2.8727 2.8727
2.8727 2.8727 -2.8727
Sb C
3 1
Cartesian
2.8727 0.0000 0.0000 Sb
0.0000 2.8727 0.0000 Sb
0.0000 0.0000 2.8727 Sb
0.0000 0.0000 0.0000 C
```

=====

A plane-wave DFT calculation with PBE-GGA was carried out for a relaxed SbC2 crystal.

Computed properties:
As for the space group: Cmcm, No. 63.

```
SbC2
1.0
2.3503 -5.1960 0.0000
2.3503 5.1960 0.0000
0.0000 0.0000 6.3820
Sb C
2 4
Cartesian
2.3503 -5.1959 1.5955 Sb
2.3503 5.1959 4.7865 Sb
1.7291 1.1983 4.7865 C
1.7291 -1.1983 1.5955 C
2.9714 1.1983 4.7865 C
2.9714 -1.1983 1.5955 C
```

=====

A plane-wave DFT calculation with PBE-GGA was carried out for a relaxed SbC2 crystal.

Computed properties:
As for the space group: Fm-3m, No. 225.

```
SbC2
1.0
0.0000 2.7305 2.7305
2.7305 0.0000 2.7305
2.7305 2.7305 0.0000
Sb C
1 2
Cartesian
0.0000 0.0000 0.0000 Sb
1.3653 1.3653 1.3653 C
4.0958 4.0958 4.0958 C
```

=====

A plane-wave DFT calculation with PBE-GGA was carried out for a relaxed SbC crystal.

Computed properties:
As for the space group: I4/mmm, No. 139.

```
SbC
1.0
-1.6699 1.6699 5.7265
1.6699 -1.6699 5.7265
1.6699 1.6699 -5.7265
Sb C
2 2
Cartesian
0.0000 0.0000 1.6081 Sb
0.0000 0.0000 9.8450 Sb
0.0000 0.0000 3.8564 C
0.0000 0.0000 7.5967 C
```

=====

A plane-wave DFT calculation with PBE-GGA was carried out for a relaxed SbC2 crystal.

Computed properties:
As for the space group: P6_3/mmc, No. 194.

```
SbC2
1.0
2.7074 0.0000 0.0000
-1.3537 2.3446 0.0000
0.0000 0.0000 18.3034
Sb C
2 4
Cartesian
0.0000 1.5631 4.5758 Sb
1.3537 0.7815 13.7275 Sb
0.0000 1.5631 0.0001 C
0.0000 1.5631 9.1516 C
1.3537 0.7815 18.3033 C
1.3537 0.7815 9.1518 C
```

=====

A plane-wave DFT calculation with PBE-GGA was carried out for a relaxed SbC crystal.

Computed properties:
As for the space group: Pm-3m, No. 221.

```
SbC
1.0
3.1046 0.0000 0.0000
0.0000 3.1046 0.0000
0.0000 0.0000 3.1046
Sb C
1 1
Cartesian
0.0000 0.0000 0.0000 Sb
1.5523 1.5523 1.5523 C
```

=====

A plane-wave DFT calculation with PBE-GGA was carried out for a relaxed SbC2 crystal.

Computed properties:
As for the space group: I4/mmm, No. 139.

```
SbC2
1.0
-2.0895 2.0895 3.0764
2.0895 -2.0895 3.0764
2.0895 2.0895 -3.0764
Sb C
1 2
Cartesian
0.0000 0.0000 0.0000 Sb
0.0000 0.0000 2.4340 C
0.0000 0.0000 3.7189 C
```

=====

A plane-wave DFT calculation with PBE-GGA was carried out for a relaxed SbC3 crystal.

Computed properties:
As for the space group: Pm-3m, No. 221.

```
SbC3
1.0
4.3219 0.0000 0.0000
0.0000 4.3219 0.0000
0.0000 0.0000 4.3219
Sb C
1 3
Cartesian
0.0000 0.0000 0.0000 Sb
0.0000 0.0000 2.1610 C
0.0000 2.1610 0.0000 C
2.1610 0.0000 0.0000 C
```

=====

A plane-wave DFT calculation with PBE-GGA was carried out for a relaxed Sb4C3 crystal.

Computed properties:
As for the space group: Pm-3m, No. 221.

```
Sb4C3
1.0
4.9224 0.0000 0.0000
0.0000 4.9224 0.0000
0.0000 0.0000 4.9224
Sb C
4 3
Cartesian
0.0000 0.0000 0.0000 Sb
0.0000 2.4612 2.4612 Sb
2.4612 0.0000 2.4612 Sb
2.4612 2.4612 0.0000 Sb
0.0000 0.0000 2.4612 C
0.0000 2.4612 0.0000 C
2.4612 0.0000 0.0000 C
```

=====

A plane-wave DFT calculation with PBE-GGA was carried out for a relaxed Sb2C crystal.

Computed properties:
As for the space group: C2/m, No. 12.

```
Sb2C
1.0
6.4243 -1.6023 0.0000
6.4243 1.6023 0.0000
-3.1406 0.0000 6.9116
Sb C
4 2
Cartesian
0.2921 0.0000 2.3595 Sb
-0.4081 0.0000 5.3474 Sb
10.1161 0.0000 1.5642 Sb
9.4159 0.0000 4.5521 Sb
5.2629 0.0000 1.7256 C
4.4451 0.0000 5.1859 C
```

=====

The evaluated VASP energy for the records listed, in turn: -5.40 -6.30 -5.29 -4.75 -4.09 -6.28 -4.93 -5.20 -6.55 -4.46 -5.74 -4.10 -4.86 -4.66 eV per atom.
The evaluated E_form (uncorrected) for the records listed, in turn: 2.55 1.22 1.39 1.07 1.31 1.24 2.59 1.47 0.98 2.21 1.78 3.85 1.45 1.17 eV per atom.
The evaluated total magnetization for the records listed, in turn: 0.00 0.00 0.00 0.00 0.00 0.00 0.00 0.00 0.00 0.00 0.00 0.87 0.00 0.00 μB per formula unit.